Compound: Sr2AgTeBr
Source: Alexandria
Functional: PBE
Structure: relaxed

```
Sr2AgTeBr
1.0
6.081 0.000 0.000
0.000 6.081 0.000
0.000 0.000 5.092
Sr Ag Te Br
2 1 1 1
Direct
0.000 0.500 0.000
0.500 0.000 0.000
0.000 0.000 0.000
0.500 0.500 0.500
0.000 0.000 0.500
```

Computed properties:
Energy relative to the elements, uncorrected = -0.62 eV per atom